A plane-wave DFT calculation with PBE was carried out for crystalline Tl2BCO at its relaxed geometry.

The structure in POSCAR format:
```
Tl2BCO
1.0
5.5356 0.0000 0.0000
0.0000 5.5356 0.0000
0.0000 0.0000 2.8881
Tl B C O
2 1 1 1
direct
0.0000 0.5000 0.0000
0.5000 0.0000 0.0000
0.0000 0.0000 0.5000
0.0000 0.0000 0.0000
0.5000 0.5000 0.5000
```

For the total magnetization, the calculation gives 0.000 μB/atom. For the calculated total energy, the calculation gives -23.1 eV/cell. The raw formation energy is 0.502 eV/atom.